# TbB4Mo, optimized geometry, DFT PBE
# excess energy over the best structure of this formula in the dataset: 64 kJ/mol of formula units
# total energy: -7.54 eV/atom
data_TbB4Mo
_symmetry_space_group_name_H-M 'P 6/m m m'
_symmetry_Int_Tables_number 191
_symmetry_space_group_name_Hall '-P 6 2'
_cell_length_a 3.1338
_cell_length_b 3.1338
_cell_length_c 7.1806
_cell_angle_alpha 90.00
_cell_angle_beta 90.00
_cell_angle_gamma 120.00
loop_
_atom_site_label
_atom_site_fract_x
_atom_site_fract_y
_atom_site_fract_z
_atom_site_occupancy
Tb1 0.0000 0.0000 0.0000 1
B1 0.3333 0.6667 0.2757 1
Mo1 0.0000 0.0000 0.5000 1